No. 1
First-principles (PBEsol) data for a relaxed Mg2IrF2 crystal, as listed in Alexandria.

Properties
**Formation energy (no corrections)**: -1.046 eV per atom
**Symmetry**: I4/mmm (139)
**E**: -4.4681 eV/atom

abc: 4.0872 4.0872 5.1153
angles: 113.55 113.55 90.00
Last column: magnetic moment on the atom in μB.
Positions (direct):
Mg 0.7500 0.2500 0.5000  -0.01
Mg 0.2500 0.7500 0.5000  -0.01
Ir 0.0000 0.0000 0.0000  1.00
F 0.6776 0.6776 0.3552  0.01
F 0.3224 0.3224 0.6448  0.01

***

No. 2
First-principles (PBEsol) data for a relaxed MgIrF3 crystal, as listed in Alexandria.

Properties
**Formation energy (no corrections)**: -1.267 eV per atom
**Symmetry**: Pm-3m (221)
**E**: -4.7319 eV/atom

abc: 3.9110 3.9110 3.9110
angles: 90.00 90.00 90.00
Last column: magnetic moment on the atom in μB.
Positions (direct):
Mg 0.0000 0.0000 0.0000  0.00
F 0.5000 0.0000 0.0000  0.05
F 0.0000 0.5000 0.0000  0.05
F 0.0000 0.0000 0.5000  0.05
Ir 0.5000 0.5000 0.5000  2.01

***

No. 3
First-principles (PBEsol) data for a relaxed MnReIrF2 crystal, as listed in Alexandria.

Properties
**Formation energy (no corrections)**: -0.202 eV per atom
**Symmetry**: P4/mmm (123)
**E**: -7.5566 eV/atom

abc: 3.6005 3.6005 5.7451
angles: 90.00 90.00 90.00
Last column: magnetic moment on the atom in μB.
Positions (direct):
Re 0.0000 0.0000 0.5000  -0.26
Mn 0.0000 0.0000 0.0000  3.42
F 0.5000 0.0000 0.0000  0.07
F 0.0000 0.5000 0.0000  0.07
Ir 0.5000 0.5000 0.5000  -0.01

***

No. 4
First-principles (PBEsol) data for a relaxed MoIrNF2 crystal, as listed in Alexandria.

Properties
**Formation energy (no corrections)**: 0.204 eV per atom
**Symmetry**: P4/mmm (123)
**E**: -6.5908 eV/atom

abc: 3.9656 3.9656 3.9431
angles: 90.00 90.00 90.00
Last column: magnetic moment on the atom in μB.
Positions (direct):
N 0.0000 0.0000 0.5000  0.02
F 0.0000 0.5000 0.0000  0.00
F 0.5000 0.0000 0.0000  0.00
Mo 0.0000 0.0000 0.0000  -0.26
Ir 0.5000 0.5000 0.5000  1.36

***

No. 5
First-principles (PBEsol) data for a relaxed IrN2F2 crystal, as listed in Alexandria.

Properties
**Formation energy (no corrections)**: 0.751 eV per atom
**Symmetry**: P4/mmm (123)
**E**: -5.3957 eV/atom

abc: 3.6647 4.1486 4.1486
angles: 90.00 90.00 90.00
Last column: magnetic moment on the atom in μB.
Positions (direct):
Ir 0.0000 0.0000 0.0000  -0.05
N 0.5000 0.5000 0.5000  1.87
N 0.5000 0.0000 0.0000  -0.03
F 0.0000 0.0000 0.5000  0.04
F 0.0000 0.5000 0.0000  0.04

***

No. 6
First-principles (PBEsol) data for a relaxed NaIrNF2 crystal, as listed in Alexandria.

Properties
**Formation energy (no corrections)**: -0.869 eV per atom
**Symmetry**: P4/mmm (123)
**E**: -5.5903 eV/atom

abc: 3.6503 4.4176 4.4176
angles: 90.00 90.00 90.00
Positions (direct):
F 0.0000 0.0000 0.5000
F 0.0000 0.5000 0.0000
Ir 0.0000 0.0000 0.0000
Na 0.5000 0.5000 0.5000
N 0.5000 0.0000 0.0000